Record 1
{
  "formula": "Ba3Hf2InO9",
  "functional": "GGA-PBE",
  "state": "optimized geometry",
  "cell": [[5.9927, 0.0000, 0.0000], [-2.9964, 5.1899, 0.0000], [0.0000, 0.0000, 7.3570]],
  "species": ["Ba", "Ba", "Ba", "Hf", "Hf", "In", "O", "O", "O", "O", "O", "O", "O", "O", "O"],
  "frac_coords": [[0.0000, 0.0000, 0.0000], [0.3333, 0.6667, 0.6614], [0.6667, 0.3333, 0.3386], [0.3333, 0.6667, 0.1652], [0.6667, 0.3333, 0.8348], [0.0000, 0.0000, 0.5000], [0.0000, 0.5000, 0.0000], [0.1708, 0.3416, 0.3268], [0.1708, 0.8292, 0.3268], [0.3416, 0.1708, 0.6732], [0.5000, 0.0000, 0.0000], [0.5000, 0.5000, 0.0000], [0.6584, 0.8292, 0.3268], [0.8292, 0.1708, 0.6732], [0.8292, 0.6584, 0.6732]],
  "m_tot_mub_per_atom": 0.043,
  "e_form_raw_ev_per_fu": -42.55,
  "dft_energy_ry_per_atom": -0.566
}

=====

Record 2
{
  "formula": "SnAs2HF",
  "functional": "GGA-PBE",
  "state": "optimized geometry",
  "cell": [[4.5978, 0.0000, 0.0000], [0.0000, 4.5978, 0.0000], [0.0000, 0.0000, 4.0595]],
  "species": ["Sn", "As", "As", "H", "F"],
  "frac_coords": [[0.0000, 0.0000, 0.0000], [0.0000, 0.5000, 0.5000], [0.5000, 0.0000, 0.5000], [0.5000, 0.5000, 0.0000], [0.5000, 0.5000, 0.5000]],
  "m_tot_mub_per_atom": 0.000,
  "dft_energy_ry_per_atom": -0.252
}

=====

Record 3
{
  "formula": "TiAl2Co2",
  "functional": "GGA-PBE",
  "state": "optimized geometry",
  "cell": [[6.9160, 0.0000, 0.0000], [0.0000, 6.9160, 0.0000], [0.0000, 0.0000, 2.7472]],
  "species": ["Ti", "Ti", "Al", "Al", "Al", "Al", "Co", "Co", "Co", "Co"],
  "frac_coords": [[0.0000, 0.0000, 0.0000], [0.5000, 0.5000, 0.0000], [0.1474, 0.3526, 0.5000], [0.3526, 0.8526, 0.5000], [0.6474, 0.1474, 0.5000], [0.8526, 0.6474, 0.5000], [0.1489, 0.6489, 0.0000], [0.3511, 0.1489, 0.0000], [0.6489, 0.8511, 0.0000], [0.8511, 0.3511, 0.0000]],
  "m_tot_mub_per_atom": 0.000,
  "polymorph_energy_mev_per_atom": 0,
  "formation_energy_ev_per_atom": -0.416,
  "dft_energy_ry_per_atom": -0.466
}

=====

Record 4
{
  "formula": "K2CoSnCl",
  "functional": "GGA-PBE",
  "state": "optimized geometry",
  "cell": [[6.9500, 0.0000, 0.0000], [0.0000, 6.9500, 0.0000], [0.0000, 0.0000, 5.4751]],
  "species": ["K", "K", "Co", "Sn", "Cl"],
  "frac_coords": [[0.0000, 0.5000, 0.0000], [0.5000, 0.0000, 0.0000], [0.0000, 0.0000, 0.5000], [0.5000, 0.5000, 0.0000], [0.5000, 0.5000, 0.5000]],
  "m_tot_mub_per_atom": 0.792,
  "e_form_raw_ev_per_fu": 2.54,
  "dft_energy_ry_per_atom": -0.185
}